1.
An optimized crystal structure of Dy3HgIr. Source: Alexandria via LeMat-Bulk, functional GGA-PBE.

Cell and atoms, written as POSCAR:
```
Dy3HgIr
1.0
5.7576 0.0000 0.0000
-2.3198 5.3905 0.0000
-1.6464 -2.5525 8.1905
Dy Hg Ir
6 2 2
direct
0.0668 0.1961 0.2796
0.2992 0.4317 0.7218
0.2995 0.7992 0.1024
0.7005 0.2008 0.8976
0.7008 0.5683 0.2782
0.9332 0.8039 0.7204
0.2852 0.7720 0.4893
0.7148 0.2280 0.5107
0.2497 0.2490 0.9996
0.7503 0.7510 0.0004
```

Properties
Space-group type: No. 2
Size of the total moment: 0.00 μB/f.u.
Offset from the most stable computed form: 34 meV per atom
Energy of formation: -591 meV per atom
N(E_F): 6.4 states/eV/cell

2.
An optimized crystal structure of Er2Al5Ir3. Source: Alexandria via LeMat-Bulk, functional GGA-PBE.

Cell and atoms, written as POSCAR:
```
Er2Al5Ir3
1.0
2.1244 -12.3482 0.0000
2.1244 12.3482 0.0000
0.0000 0.0000 6.7917
Er Al Ir
4 10 6
direct
0.0229 0.9771 0.5000
0.3238 0.6762 0.4211
0.6762 0.3238 0.9211
0.9771 0.0229 0.0000
0.0986 0.9014 0.1222
0.2064 0.7936 0.6038
0.2126 0.7874 0.2086
0.3728 0.6272 0.9693
0.4450 0.5550 0.3314
0.5550 0.4450 0.8314
0.6272 0.3728 0.4693
0.7874 0.2126 0.7086
0.7936 0.2064 0.1038
0.9014 0.0986 0.6222
0.1102 0.8898 0.7457
0.2715 0.7285 0.9031
0.4529 0.5471 0.7144
0.5471 0.4529 0.2144
0.7285 0.2715 0.4031
0.8898 0.1102 0.2457
```

Properties
Space-group type: No. 36
Size of the total moment: 0.00 μB/f.u.
Energy of formation: -846 meV per atom
N(E_F): 8.9 states/eV/cell

3.
An optimized crystal structure of Ca3Cd2Au7. Source: Alexandria via LeMat-Bulk, functional GGA-PBE.

Cell and atoms, written as POSCAR:
```
Ca3Cd2Au7
1.0
2.3699 -11.8817 0.0000
2.3699 11.8817 0.0000
0.0000 0.0000 4.9063
Ca Cd Au
3 2 7
direct
0.0000 0.0000 0.0000
0.1610 0.8390 0.0000
0.8390 0.1610 0.0000
0.3519 0.6481 0.5000
0.6481 0.3519 0.5000
0.0765 0.9235 0.5000
0.2236 0.7764 0.5000
0.4186 0.5814 0.0000
0.5000 0.5000 0.5000
0.5814 0.4186 0.0000
0.7764 0.2236 0.5000
0.9235 0.0765 0.5000
```

Properties
Space-group type: No. 65
Size of the total moment: 0.00 μB/f.u.
Energy of formation: -453 meV per atom
N(E_F): 4.1 states/eV/cell

- Among the records above, which one has the highest energy of formation?
  Ca3Cd2Au7

- Look up the energy of formation of the second one.
  -846 meV per atom